Computed, not measured: crystalline Y2AsIr at its relaxed geometry at the GGA-PBE level of DFT.

The calculation puts the calculated total energy at -6.91 eV per atom.

The space group is F-43m (No. 216) and the conventional cell measures 6.8889, 6.8889 and 6.8889 Å, with angles of 90.00, 90.00 and 90.00 degrees. The asymmetric unit holds Y at (0.0000, 0.0000, 0.0000), Y at (0.2500, 0.2500, 0.2500), As at (0.0000, 0.0000, 0.5000) and Ir at (0.2500, 0.2500, 0.7500).

Computed, not measured: crystalline RbPOsO at its relaxed geometry at the GGA-PBE level of DFT.

The calculation puts the calculated total energy at -5.82 eV per atom.

The space group is P4/nmm (No. 129, origin choice 2) and the conventional cell measures 3.9521, 3.9521 and 11.3530 Å, with angles of 90.00, 90.00 and 90.00 degrees. The asymmetric unit holds Rb at (0.2500, 0.2500, 0.1643), P at (0.2500, 0.2500, 0.6090), Os at (0.2500, 0.7500, 0.5000) and O at (0.2500, 0.7500, 0.0000).

Computed, not measured: crystalline LiAlFeNi at its relaxed geometry at the GGA-PBE level of DFT.

The calculation puts the calculated total energy at -5.06 eV per atom.

The space group is F-43m (No. 216) and the conventional cell measures 5.7411, 5.7411 and 5.7411 Å, with angles of 90.00, 90.00 and 90.00 degrees. The asymmetric unit holds Li at (0.0000, 0.0000, 0.0000), Al at (0.2500, 0.2500, 0.2500), Fe at (0.2500, 0.2500, 0.7500) and Ni at (0.0000, 0.0000, 0.5000).

The highest calculated total energy belongs to which entry?
LiAlFeNi

Look up the calculated total energy of the second one.
-5.82 eV per atom

Copy entry 2 word for word.
Computed, not measured: crystalline RbPOsO at its relaxed geometry at the GGA-PBE level of DFT.

The calculation puts the calculated total energy at -5.82 eV per atom.

The space group is P4/nmm (No. 129, origin choice 2) and the conventional cell measures 3.9521, 3.9521 and 11.3530 Å, with angles of 90.00, 90.00 and 90.00 degrees. The asymmetric unit holds Rb at (0.2500, 0.2500, 0.1643), P at (0.2500, 0.2500, 0.6090), Os at (0.2500, 0.7500, 0.5000) and O at (0.2500, 0.7500, 0.0000).

Look up the calculated total energy of the second one.
-5.82 eV per atom